No. 1
DFT (PBE-GGA) results for a relaxed PrTm3Ga2 crystal.

- Space group: No. 12
- V: 26.51 Å³ per atom
- ΔE to the lowest computed polymorph: 80 meV/atom

The structure in POSCAR format:
```
PrTm3Ga2
1.0
-2.8276 -3.1725 -2.8233
8.4465 -0.3813 -3.4208
-2.5949 -4.1804 7.2962
Ga Pr Tm
4 2 6
Cartesian
2.0330 -3.3739 -2.8549
6.5419 -2.4588 -3.7888
-3.5178 -5.2754 4.8409
0.9910 -4.3603 3.9070
1.3680 -6.9060 1.7800
1.6560 -0.8282 -0.7279
4.6499 -2.6291 -1.7027
3.1923 -5.7636 -1.3308
-1.6259 -5.1051 2.7548
-0.1683 -1.9706 2.3828
0.2186 -3.9557 -0.3841
2.8054 -3.7785 1.4362
```

=====

No. 2
DFT (PBE-GGA) results for a relaxed Pr2TmGa2 crystal.

- Space group: No. 127
- V: 27.38 Å³ per atom
- ΔE to the lowest computed polymorph: 0 meV/atom

The structure in POSCAR format:
```
Pr2TmGa2
1.0
-3.7933 0.8787 -2.3777
-2.8399 -6.9333 1.9683
-3.2343 3.1166 6.3116
Tm Pr Ga
2 4 4
Cartesian
-3.0371 -1.9084 4.1399
0.0000 0.0000 0.0000
-4.5751 1.3308 3.4136
-5.2924 -4.2688 2.4886
-3.3855 -1.2714 0.5541
-6.4820 -1.6666 5.3480
-1.5699 0.3533 2.6350
-3.9260 0.1075 6.3030
-2.1482 -3.9243 1.9769
-4.5044 -4.1701 5.6448
```

=====

No. 3
DFT (PBE-GGA) results for a relaxed PrTm4Ga4 crystal.

- Space group: No. 86
- V: 27.34 Å³ per atom

The structure in POSCAR format:
```
PrTm4Ga4
1.0
5.8112 0.0000 0.0000
0.0000 9.2023 0.0000
0.0000 0.0000 9.2023
Tm Ga Pr
8 8 2
Cartesian
2.2159 6.1470 0.8932
0.6897 1.5458 5.4944
3.5953 8.3091 6.1470
0.6897 7.6565 3.7080
3.5953 0.8932 3.0554
5.1215 5.4944 7.6565
2.2159 3.0554 8.3091
5.1215 3.7080 1.5458
2.2039 3.3022 1.9984
3.6073 1.9984 5.9001
0.7017 7.9034 6.5996
5.1095 6.5996 1.2990
3.6073 7.2039 3.3022
0.7017 1.2990 2.6027
2.2039 5.9001 7.2039
5.1095 2.6027 7.9034
0.0000 0.0000 0.0000
2.9056 4.6012 4.6012
```

=====

No. 4
DFT (PBE-GGA) results for a relaxed Pr3TmGa2 crystal.

- Space group: No. 12
- V: 28.73 Å³ per atom
- ΔE to the lowest computed polymorph: 35 meV/atom

The structure in POSCAR format:
```
Pr3TmGa2
1.0
5.1612 0.0000 0.0000
-2.5806 10.7454 -0.1793
0.0000 -5.0530 6.3018
Ga Pr Tm
4 6 2
Cartesian
2.5806 -3.8294 5.6675
2.5806 4.8972 1.3257
0.0000 0.7952 4.7967
0.0000 9.5218 0.4550
2.5806 5.9709 4.2934
0.0000 3.6526 3.8865
0.0000 -0.2785 1.8290
2.5806 2.0398 2.2359
2.5806 -0.9699 4.4540
0.0000 6.6623 1.6685
2.5806 2.4121 5.8555
0.0000 3.2803 0.2670
```

=====

| no. | energy of formation (eV per atom) | density of states at the Fermi level (states/eV per cell) |
| --- | --- | --- |
| 1 | -0.33 | 10.00 |
| 2 | -0.50 | 12.43 |
| 3 | -0.34 | 13.66 |
| 4 | -0.35 | 7.44 |